# 1
Computed, not measured: a relaxed LiAcGa2 crystal at the PBE-GGA level of DFT.

```
LiAcGa2
1.0
4.369 0.000 0.000
0.000 7.944 0.000
0.000 0.000 11.290
Li Ac Ga
4 4 8
direct
0.250 0.491 0.104
0.250 0.991 0.396
0.750 0.509 0.896
0.750 0.009 0.604
0.750 0.847 0.137
0.250 0.153 0.863
0.750 0.347 0.363
0.250 0.653 0.637
0.750 0.839 0.828
0.250 0.161 0.172
0.750 0.339 0.672
0.250 0.661 0.328
0.750 0.766 0.431
0.250 0.734 0.931
0.750 0.266 0.069
0.250 0.234 0.569
```

magnetization = 0.000 μB per formula unit
DFT total energy = -3.464 eV per atom
density of states at the Fermi level = 0.773 states/eV per atom

=====

# 2
Computed, not measured: a relaxed LiAc2Ga crystal at the PBE-GGA level of DFT.

```
LiAc2Ga
1.0
-1.803 3.177 -0.688
-3.626 -0.060 -0.815
-4.498 2.084 11.377
Ac Ga Li
2 1 1
direct
0.089 0.089 0.733
0.911 0.911 0.267
0.000 0.000 0.000
0.500 0.500 0.500
```

energy relative to the lowest polymorph listed for this composition = 0.554 eV per atom
magnetization = 0.000 μB per formula unit
DFT total energy = -2.960 eV per atom
density of states at the Fermi level = 1.372 states/eV per atom

=====

# 3
Computed, not measured: a relaxed Li17Ac2Ga3 crystal at the PBE-GGA level of DFT.

```
Li17Ac2Ga3
1.0
7.962 -0.067 0.779
0.700 7.931 0.779
-0.074 -0.067 7.999
Li Ac Ga
17 2 3
direct
0.500 0.000 0.000
0.000 0.000 0.500
0.000 0.500 0.000
0.000 0.737 0.263
0.737 0.263 0.000
0.263 0.000 0.737
0.263 0.737 0.000
0.737 0.000 0.263
0.000 0.263 0.737
0.187 0.667 0.667
0.667 0.667 0.187
0.667 0.187 0.667
0.813 0.333 0.333
0.333 0.333 0.813
0.333 0.813 0.333
0.089 0.089 0.089
0.911 0.911 0.911
0.324 0.324 0.324
0.676 0.676 0.676
0.000 0.500 0.500
0.500 0.500 0.000
0.500 0.000 0.500
```

magnetization = 0.208 μB per formula unit
DFT total energy = -2.283 eV per atom
density of states at the Fermi level = 0.663 states/eV per atom

=====

# 4
Computed, not measured: a relaxed Li4AcGa2 crystal at the PBE-GGA level of DFT.

```
Li4AcGa2
1.0
4.647 0.000 0.000
0.000 4.656 0.000
0.000 -2.328 6.873
Li Ac Ga
4 1 2
direct
0.500 0.801 0.601
0.000 0.689 0.378
0.500 0.199 0.399
0.000 0.311 0.622
0.000 0.000 0.000
0.500 0.592 0.184
0.500 0.408 0.816
```

magnetization = 0.000 μB per formula unit
DFT total energy = -2.806 eV per atom
density of states at the Fermi level = 0.445 states/eV per atom